! V7Mo PBE relaxed; values from VASP
! M_tot = 0.00 μB per formula unit
! VASP energy = -149.851 eV for the cell shown
! Crystal system = trigonal
! Space-group type = R-3m, No. 166
! Calculated formation energy = -0.033 eV per atom
! Density of states at the Fermi level = 1.9471 states/eV/atom
&SYSTEM
  ibrav = 0, nat = 16, ntyp = 2
/
ATOMIC_SPECIES
V 50.94 V.upf
Mo 95.94 Mo.upf
ATOMIC_POSITIONS angstrom
V -2.3209 -1.8957 3.2877
V 0.2116 -1.3430 3.0106
V 0.7416 0.8591 4.3013
V -1.2375 2.4787 5.8848
V 0.2275 0.4997 6.8316
V -1.7667 0.2738 4.5940
V -2.8350 -2.2551 5.8180
V -0.8400 -2.0309 8.0579
V -0.3267 -1.6698 5.5253
V -1.2534 0.6349 2.0615
V -0.8559 -3.8747 4.2345
V -4.3019 -0.2779 4.8706
V -2.3050 -0.0531 7.1087
V 2.2085 -1.1181 5.2487
Mo 1.1391 -3.6480 6.4732
Mo -3.2325 2.2520 3.6461
CELL_PARAMETERS angstrom
-2.1252 -5.0884 2.4627
4.0116 0.4319 4.4938
-3.9798 3.2605 3.1629